[1]
Compound: Cs3Pm3PuO8
Source: the Alexandria database
Functional: GGA-PBE
Structure: relaxed

```
Cs3Pm3PuO8
1.0
3.619 2.089 7.021
-3.619 2.089 7.021
0.000 -4.179 7.021
Cs Pm Pu O
3 3 1 8
Direct
0.000 0.500 0.500
0.500 0.000 0.500
0.500 0.500 0.000
0.000 0.000 0.500
0.000 0.500 0.000
0.500 0.000 0.000
0.500 0.500 0.500
0.221 0.221 0.221
0.238 0.710 0.710
0.290 0.290 0.762
0.290 0.762 0.290
0.710 0.238 0.710
0.710 0.710 0.238
0.762 0.290 0.290
0.779 0.779 0.779
```

Computed properties:
ρ   6.29 g/cm3
Magnetic moment   4.00 μB per cell
Formation energy (no corrections)   -2662 meV per atom

***

[2]
Compound: CsPmPuO6
Source: the Alexandria database
Functional: GGA-PBE
Structure: relaxed

```
CsPmPuO6
1.0
6.015 0.000 0.000
-3.007 5.209 0.000
0.000 0.000 12.667
Cs Pm Pu O
2 2 2 12
Direct
0.000 0.000 0.000
0.000 0.000 0.500
0.333 0.667 0.250
0.667 0.333 0.750
0.333 0.667 0.750
0.667 0.333 0.250
0.044 0.414 0.662
0.044 0.630 0.838
0.370 0.414 0.838
0.370 0.956 0.662
0.414 0.044 0.162
0.414 0.370 0.338
0.586 0.630 0.662
0.586 0.956 0.838
0.630 0.044 0.338
0.630 0.586 0.162
0.956 0.370 0.162
0.956 0.586 0.338
```

Computed properties:
ρ   5.17 g/cm3
Magnetic moment   0.00 μB per cell
Formation energy (no corrections)   -2411 meV per atom

***

[3]
Compound: CsPm2PuO8
Source: the Alexandria database
Functional: GGA-PBE
Structure: relaxed

```
CsPm2PuO8
1.0
3.581 -3.636 0.000
3.581 3.636 0.000
-0.524 0.000 8.109
Cs Pm Pu O
1 2 1 8
Direct
0.000 0.000 0.000
0.473 0.473 0.715
0.527 0.527 0.285
0.000 0.000 0.500
0.145 0.773 0.323
0.227 0.855 0.677
0.290 0.290 0.472
0.395 0.395 0.997
0.605 0.605 0.003
0.710 0.710 0.528
0.773 0.145 0.323
0.855 0.227 0.677
```

Computed properties:
ρ   6.25 g/cm3
Magnetic moment   0.96 μB per cell
Formation energy (no corrections)   -2464 meV per atom

***

[4]
Compound: CsPmPu2O8
Source: the Alexandria database
Functional: GGA-PBE
Structure: relaxed

```
CsPmPu2O8
1.0
-4.172 4.172 3.503
4.172 -4.172 3.503
4.172 4.172 -3.503
Cs Pm Pu O
1 1 2 8
Direct
0.000 0.000 0.000
0.750 0.250 0.500
0.250 0.750 0.500
0.500 0.500 0.000
0.041 0.384 0.343
0.041 0.697 0.657
0.175 0.391 0.784
0.303 0.959 0.343
0.607 0.391 0.216
0.609 0.393 0.784
0.609 0.825 0.216
0.616 0.959 0.657
```

Computed properties:
ρ   6.09 g/cm3
Magnetic moment   4.00 μB per cell
Formation energy (no corrections)   -2196 meV per atom

***

[5]
Compound: Cs3PmPu2O9
Source: the Alexandria database
Functional: GGA-PBE
Structure: relaxed

```
Cs3PmPu2O9
1.0
6.260 0.000 0.000
-3.130 5.421 0.000
0.000 0.000 7.677
Cs Pm Pu O
3 1 2 9
Direct
0.000 0.000 0.000
0.333 0.667 0.663
0.667 0.333 0.337
0.000 0.000 0.500
0.333 0.667 0.160
0.667 0.333 0.840
0.000 0.500 0.000
0.180 0.359 0.315
0.180 0.820 0.315
0.359 0.180 0.685
0.500 0.000 0.000
0.500 0.500 0.000
0.641 0.820 0.315
0.820 0.180 0.685
0.820 0.641 0.685
```

Computed properties:
ρ   7.49 g/cm3
Magnetic moment   4.00 μB per cell
Formation energy (no corrections)   -2443 meV per atom

***

[6]
Compound: Cs2PmRe3O12
Source: the Alexandria database
Functional: GGA-PBE
Structure: relaxed

```
Cs2PmRe3O12
1.0
3.717 2.146 6.447
-3.717 2.146 6.447
0.000 -4.292 6.447
Cs Pm Re O
2 1 3 12
Direct
0.114 0.114 0.114
0.886 0.886 0.886
0.500 0.500 0.500
0.000 0.500 0.500
0.500 0.000 0.500
0.500 0.500 0.000
0.137 0.574 0.574
0.199 0.199 0.571
0.199 0.571 0.199
0.426 0.426 0.863
0.426 0.863 0.426
0.429 0.801 0.801
0.571 0.199 0.199
0.574 0.137 0.574
0.574 0.574 0.137
0.801 0.429 0.801
0.801 0.801 0.429
0.863 0.426 0.426
```

Computed properties:
ρ   6.25 g/cm3
Magnetic moment   0.88 μB per cell
Formation energy (no corrections)   -1927 meV per atom

***

Question: formation energy (no corrections) of number 2 (CsPmPuO6)?
Answer: -2411 meV per atom

***

Question: The highest formation energy (no corrections) belongs to which entry?
Answer: Cs2PmRe3O12

***

What did the second record say?
Compound: CsPmPuO6
Source: the Alexandria database
Functional: GGA-PBE
Structure: relaxed

```
CsPmPuO6
1.0
6.015 0.000 0.000
-3.007 5.209 0.000
0.000 0.000 12.667
Cs Pm Pu O
2 2 2 12
Direct
0.000 0.000 0.000
0.000 0.000 0.500
0.333 0.667 0.250
0.667 0.333 0.750
0.333 0.667 0.750
0.667 0.333 0.250
0.044 0.414 0.662
0.044 0.630 0.838
0.370 0.414 0.838
0.370 0.956 0.662
0.414 0.044 0.162
0.414 0.370 0.338
0.586 0.630 0.662
0.586 0.956 0.838
0.630 0.044 0.338
0.630 0.586 0.162
0.956 0.370 0.162
0.956 0.586 0.338
```

Computed properties:
ρ   5.17 g/cm3
Magnetic moment   0.00 μB per cell
Formation energy (no corrections)   -2411 meV per atom

***

Question: Look up the ρ of the fourth one.
Answer: 6.09 g/cm3